First-principles (PBE) data for Nd8CoP3Cl4 after structural relaxation, as listed in Alexandria.

Computed properties:
formation energy (no corrections): -1.3937 eV/atom
space-group type: No. 166
magnetization: 0.0000 μB per atom
VASP energy: -91.16 eV/f.u.

a = 8.2791 Å, b = 8.4438 Å, c = 8.2792 Å
α = 119.36°, β = 120.00°, γ = 90.00°
Closest atoms and distances in Å follow each position.
Element x y z (fractional)
P 0.0000 0.5000 0.5000  6 Nd 2.83-2.86
Nd 0.7514 0.7129 0.9822  1 Co 2.73, 2 P 2.86
P 0.5000 0.5000 0.5000  6 Nd 2.83-2.86
Nd 0.2308 0.7129 0.4616  1 Co 2.73, 2 P 2.86
Co 0.0000 0.5000 0.0000  6 Nd 2.73
Nd 0.7692 0.2871 0.5384  1 Co 2.73, 2 P 2.86
Nd 0.2486 0.2871 0.0178  1 Co 2.73, 2 P 2.86
Nd 0.2606 0.2818 0.5212  3 P 2.83, 3 Cl 3.09
P 0.5000 0.5000 0.0000  6 Nd 2.83-2.86
Cl 0.0000 0.0000 0.5000  6 Nd 3.08-3.09
Nd 0.7394 0.7182 0.4788  3 P 2.83, 3 Cl 3.09
Nd 0.2308 0.7129 0.9822  1 Co 2.73, 2 P 2.86
Cl 0.5000 0.0000 0.5000  6 Nd 3.08-3.09
Cl 0.0000 0.0000 0.0000  6 Nd 3.08-3.09
Cl 0.5000 0.0000 0.0000  6 Nd 3.19
Nd 0.7692 0.2871 0.0178  1 Co 2.73, 2 P 2.86

***

First-principles (PBE) data for Nd8Co3PCl4 after structural relaxation, as listed in Alexandria.

Computed properties:
formation energy (no corrections): -0.9796 eV/atom
space-group type: No. 166
magnetization: 0.0000 μB per atom
VASP energy: -87.93 eV/f.u.

a = 8.0875 Å, b = 8.7506 Å, c = 8.0876 Å
α = 117.54°, β = 120.00°, γ = 90.00°
Closest atoms and distances in Å follow each position.
Element x y z (fractional)
P 0.0000 0.5000 0.0000  6 Nd 2.85
Cl 0.0000 0.0000 0.0000  6 Nd 3.21-3.23
Nd 0.7223 0.7041 0.9633  2 Co 2.74-2.75, 1 P 2.85
Nd 0.2657 0.2973 0.5314  3 Co 2.77-2.78
Nd 0.7590 0.2959 0.0367  2 Co 2.74-2.75, 1 P 2.85
Cl 0.5000 0.0000 0.0000  6 Nd 3.14
Co 0.0000 0.5000 0.5000  6 Nd 2.74-2.77
Nd 0.2409 0.7040 0.4818  2 Co 2.74, 1 P 2.85
Nd 0.2777 0.2959 0.0367  2 Co 2.74-2.75, 1 P 2.85
Co 0.5000 0.5000 0.5000  6 Nd 2.74-2.77
Co 0.5000 0.5000 0.0000  6 Nd 2.74-2.78
Cl 0.5000 0.0000 0.5000  6 Nd 3.21-3.23
Nd 0.7343 0.7027 0.4686  3 Co 2.77-2.78
Nd 0.2410 0.7041 0.9633  2 Co 2.74-2.75, 1 P 2.85
Cl 0.0000 0.0000 0.5000  6 Nd 3.21-3.23
Nd 0.7591 0.2960 0.5182  2 Co 2.74, 1 P 2.85

***

First-principles (PBE) data for NdPaCoCl after structural relaxation, as listed in Alexandria.

Computed properties:
formation energy (no corrections): -0.8465 eV/atom
space-group type: No. 166
magnetization: 0.0000 μB per atom
VASP energy: -26.60 eV/f.u.

a = 3.9404 Å, b = 3.9404 Å, c = 15.6276 Å
α = 82.76°, β = 82.76°, γ = 60.00°
Closest atoms and distances in Å follow each position.
Element x y z (fractional)
Cl 0.7053 0.7053 0.8842  3 Nd 2.89
Nd 0.5895 0.5895 0.2315  3 Cl 2.89, 3 Co 2.97
Cl 0.2947 0.2947 0.1158  3 Nd 2.89
Co 0.1183 0.1183 0.6451  3 Pa 2.55
Pa 0.8097 0.8097 0.5709  3 Co 2.55
Pa 0.1903 0.1903 0.4291  3 Co 2.55
Co 0.8817 0.8817 0.3549  3 Pa 2.55
Nd 0.4105 0.4105 0.7685  3 Cl 2.89, 3 Co 2.97

***

First-principles (PBE) data for Nd4CoPdCl2 after structural relaxation, as listed in Alexandria.

Computed properties:
formation energy (no corrections): -0.9701 eV/atom
space-group type: No. 10
magnetization: 0.0000 μB per atom
VASP energy: -42.82 eV/f.u.

a = 4.0618 Å, b = 7.1430 Å, c = 7.8598 Å
α = 107.63°, β = 90.00°, γ = 90.00°
Closest atoms and distances in Å follow each position.
Element x y z (fractional)
Nd 0.0000 0.7219 0.2026  2 Co 2.76, 1 Pd 2.90
Cl 0.5000 0.0000 0.5000  6 Nd 3.27-3.36
Co 0.5000 0.5000 0.0000  6 Nd 2.71-2.76
Nd 0.0000 0.2781 0.7974  2 Co 2.76, 1 Pd 2.90
Cl 0.0000 0.5000 0.5000  6 Nd 3.17-3.20
Pd 0.0000 0.0000 0.0000  6 Nd 2.88-2.90
Nd 0.5000 0.2565 0.2055  1 Co 2.71, 2 Pd 2.88
Nd 0.5000 0.7435 0.7945  1 Co 2.71, 2 Pd 2.88

***

First-principles (PBE) data for Pr2Nd2Co2Cl after structural relaxation, as listed in Alexandria.

Computed properties:
formation energy (no corrections): -0.4437 eV/atom
space-group type: No. 12
magnetization: 0.0002 μB per atom
VASP energy: -38.26 eV/f.u.

a = 3.7893 Å, b = 8.0681 Å, c = 7.1433 Å
α = 69.09°, β = 74.62°, γ = 76.42°
Closest atoms and distances in Å follow each position.
Element x y z (fractional)
Pr 0.5271 0.2652 0.6806  2 Co 2.71
Pr 0.4729 0.7348 0.3194  2 Co 2.71
Cl 0.0000 0.0000 0.0000  2 Nd 2.99, 4 Pr 3.14
Co 0.0951 0.4862 0.3235  1 Co 2.51, 2 Pr 2.71, 2 Nd 2.77
Co 0.9049 0.5138 0.6765  1 Co 2.51, 2 Pr 2.71, 2 Nd 2.77
Nd 0.2361 0.6855 0.8422  2 Co 2.77, 1 Cl 2.99
Nd 0.7639 0.3145 0.1578  2 Co 2.77, 1 Cl 2.99

***

First-principles (PBE) data for PrNdCoCl after structural relaxation, as listed in Alexandria.

Computed properties:
formation energy (no corrections): -0.8013 eV/atom
space-group type: No. 160
magnetization: 0.0000 μB per atom
VASP energy: -21.70 eV/f.u.

a = 3.9509 Å, b = 3.9509 Å, c = 8.0280 Å
α = 90.01°, β = 104.24°, γ = 120.00°
Closest atoms and distances in Å follow each position.
Element x y z (fractional)
Co 0.3052 0.5505 0.8709  3 Nd 2.74, 3 Pr 2.76
Pr 0.5046 0.1502 0.6700  3 Co 2.76
Nd 0.1036 0.9498 0.0688  3 Co 2.74
Cl 0.9645 0.3804 0.3599  3 Nd 3.20, 3 Pr 3.30